VASP calculation (PBE-GGA) on ZrZn3O3 after structural relaxation. Values from VASP.

Geometry as Quantum ESPRESSO input:
```
&SYSTEM
  ibrav = 0, nat = 14, ntyp = 3
/
ATOMIC_SPECIES
Zr 91.22 Zr.upf
Zn 65.41 Zn.upf
O 16.00 O.upf
CELL_PARAMETERS angstrom
5.8174 0.0000 0.0000
0.0000 5.8174 0.0000
0.0000 0.0000 5.8174
ATOMIC_POSITIONS crystal
Zr 0.0000 0.0000 0.0000
Zr 0.5000 0.5000 0.5000
Zn 0.0000 0.2500 0.5000
Zn 0.0000 0.7500 0.5000
Zn 0.2500 0.5000 0.0000
Zn 0.5000 0.0000 0.2500
Zn 0.5000 0.0000 0.7500
Zn 0.7500 0.5000 0.0000
O 0.0000 0.5000 0.2500
O 0.0000 0.5000 0.7500
O 0.2500 0.0000 0.5000
O 0.5000 0.2500 0.0000
O 0.5000 0.7500 0.0000
O 0.7500 0.0000 0.5000
```

Results
Spin magnetization = 0.50 μB/f.u.
Formation energy from raw total energies = -522 meV/atom
Calculated total energy = -61.80 eV/cell
V = 197 Å³ per cell

***

VASP calculation (PBE-GGA) on Cd6In2Sn after structural relaxation. Values from VASP.

Geometry as Quantum ESPRESSO input:
```
&SYSTEM
  ibrav = 0, nat = 9, ntyp = 3
/
ATOMIC_SPECIES
Cd 112.41 Cd.upf
In 114.82 In.upf
Sn 118.71 Sn.upf
CELL_PARAMETERS angstrom
6.7619 0.0000 0.0000
-3.3810 5.8560 0.0000
0.0000 0.0000 6.0220
ATOMIC_POSITIONS crystal
Cd 0.1864 0.3727 0.1737
Cd 0.1864 0.8136 0.1737
Cd 0.3727 0.1864 0.8263
Cd 0.6273 0.8136 0.1737
Cd 0.8136 0.1864 0.8263
Cd 0.8136 0.6273 0.8263
In 0.3333 0.6667 0.6627
In 0.6667 0.3333 0.3373
Sn 0.0000 0.0000 0.5000
```

Results
Spin magnetization = 0.00 μB/f.u.
Calculated total energy = -14.20 eV/cell
Formation energy = 0.086 eV per atom
V = 239 Å³ per cell
Energy above the lowest structure with this stoichiometry = 0.41 eV/f.u.